i:
9
Lattice="4.604 0.000 0.000 0.000 4.604 0.000 0.000 0.000 10.249" Properties=species:S:1:pos:R:3 comment="AcCd6Ag2, optimized geometry, DFT PBE" spacegroup="P4/mmm, No. 123" pbc="T T T"
Ac 0.000 0.000 0.000
Cd 0.000 0.000 5.124
Cd 0.000 2.302 3.011
Cd 0.000 2.302 7.238
Cd 2.302 0.000 3.011
Cd 2.302 0.000 7.238
Cd 2.302 2.302 5.124
Ag 2.302 2.302 1.349
Ag 2.302 2.302 8.899


ii:
18
Lattice="0.000 6.468 6.468 6.468 0.000 6.468 6.468 6.468 0.000" Properties=species:S:1:pos:R:3 comment="AcCd6Ag2, optimized geometry, DFT PBE" spacegroup="Fd-3m, No. 227" pbc="T T T"
Ac 1.617 1.617 1.617
Ac 11.319 11.319 11.319
Cd 4.851 4.851 1.704
Cd 4.851 1.704 4.851
Cd 7.998 4.851 4.851
Cd 8.085 8.085 4.938
Cd 8.085 4.938 8.085
Cd 11.232 8.085 8.085
Cd 1.704 4.851 4.851
Cd 4.851 7.998 4.851
Cd 4.851 4.851 7.998
Cd 4.938 8.085 8.085
Cd 8.085 11.232 8.085
Cd 8.085 8.085 11.232
Ag 6.468 3.234 3.234
Ag 3.234 6.468 3.234
Ag 3.234 3.234 6.468
Ag 6.468 6.468 6.468


Most stable pick: i. Distance to second place: 33.1 kJ/mol of atoms.


i:
20
Lattice="2.481 -13.565 0.000 2.481 13.565 0.000 0.000 0.000 7.588" Properties=species:S:1:pos:R:3 comment="Ac2Cd5Ag3, optimized geometry, DFT PBE" spacegroup="Cmc2_1, No. 36" pbc="T T T"
Ac 2.481 13.093 3.794
Ac 2.481 4.733 3.471
Ac 2.481 -4.733 7.266
Ac 2.481 -13.093 0.000
Cd 2.481 10.695 1.314
Cd 2.481 8.050 4.816
Cd 2.481 7.853 1.895
Cd 2.481 3.405 7.525
Cd 2.481 1.427 2.326
Cd 2.481 -1.427 6.120
Cd 2.481 -3.405 3.731
Cd 2.481 -7.853 5.689
Cd 2.481 -8.050 1.021
Cd 2.481 -10.695 5.108
Ag 2.481 10.665 5.919
Ag 2.481 6.266 7.109
Ag 2.481 1.422 5.353
Ag 2.481 -1.422 1.559
Ag 2.481 -6.266 3.315
Ag 2.481 -10.665 2.125


ii:
10
Lattice="4.527 0.000 0.000 0.000 4.527 0.000 0.000 0.000 12.729" Properties=species:S:1:pos:R:3 comment="Ac2Cd5Ag3, optimized geometry, DFT PBE" spacegroup="P-4m2, No. 115" pbc="T T T"
Ac 0.000 2.264 2.973
Ac 2.264 0.000 9.756
Cd 0.000 0.000 6.365
Cd 0.000 2.264 8.215
Cd 2.264 0.000 4.514
Cd 2.264 2.264 0.000
Cd 2.264 2.264 6.365
Ag 0.000 0.000 0.000
Ag 0.000 2.264 10.983
Ag 2.264 0.000 1.746


Most stable pick: i. Distance to second place: 0.6 kJ/mol of atoms.


i:
8
Lattice="2.439 1.408 9.631 -2.439 1.408 9.631 0.000 -2.817 9.631" Properties=species:S:1:pos:R:3 comment="AcCd6Ag, optimized geometry, DFT PBE" spacegroup="R-3m, No. 166" pbc="T T T"
Ac 0.000 0.000 0.000
Cd 0.000 0.000 3.886
Cd 0.000 0.000 7.164
Cd 0.000 0.000 11.561
Cd 0.000 0.000 17.334
Cd 0.000 0.000 21.731
Cd 0.000 0.000 25.008
Ag 0.000 0.000 14.447


ii:
8
Lattice="4.678 0.000 0.000 0.000 4.678 0.000 0.000 0.000 9.488" Properties=species:S:1:pos:R:3 comment="AcCd6Ag, optimized geometry, DFT PBE" spacegroup="P4/mmm, No. 123" pbc="T T T"
Ac 0.000 0.000 0.000
Cd 0.000 2.339 3.130
Cd 0.000 2.339 6.358
Cd 2.339 0.000 3.130
Cd 2.339 0.000 6.358
Cd 2.339 2.339 1.386
Cd 2.339 2.339 8.101
Ag 0.000 0.000 4.744


Most stable pick: i. Distance to second place: 0.5 kJ/mol of atoms.


i:
10
Lattice="7.155 0.000 0.000 -3.578 6.196 0.000 0.000 0.000 5.976" Properties=species:S:1:pos:R:3 comment="AcCd3Ag, optimized geometry, DFT PBE" spacegroup="P6_3/mmc, No. 194" pbc="T T T"
Ac 0.000 4.131 1.494
Ac 3.578 2.065 4.482
Cd 0.000 2.385 4.482
Cd -1.512 5.004 4.482
Cd 2.066 1.193 1.494
Cd 1.512 5.004 4.482
Cd 5.089 1.193 1.494
Cd 3.578 3.811 1.494
Ag 0.000 0.000 0.000
Ag 0.000 0.000 2.988


ii:
10
Lattice="3.228 -6.328 0.000 3.228 6.328 0.000 0.000 0.000 6.481" Properties=species:S:1:pos:R:3 comment="AcCd3Ag, optimized geometry, DFT PBE" spacegroup="Cmcm, No. 63" pbc="T T T"
Ac 3.228 3.175 4.861
Ac 3.228 -3.175 1.620
Cd 3.228 4.592 1.620
Cd 1.686 0.000 0.000
Cd 1.686 0.000 3.241
Cd 4.769 0.000 0.000
Cd 4.769 0.000 3.241
Cd 3.228 -4.592 4.861
Ag 3.228 1.831 1.620
Ag 3.228 -1.831 4.861


Most stable pick: ii. Distance to second place: 5.5 kJ/mol of atoms.